[1]
Na2TcBr5: relaxed, PBE-GGA.

Output
electronic total energy = -3.5245 eV/atom
symmetry = Cmcm
uncorrected formation energy = -0.853 eV/atom
M_tot = 6.0 μB/cell

abc: 5.6495 7.5176 13.2733
angles: 90.00 90.00 112.07
With the nearest neighbours (Å) after each atom.
Fractional coordinates of all 16 atoms:
Na 0.8371 0.6741 0.4253  5 Br 2.88-3.13
Na 0.8371 0.6741 0.0747  5 Br 2.88-3.13
Na 0.1629 0.3259 0.5747  5 Br 2.88-3.13
Na 0.1629 0.3259 0.9253  5 Br 2.88-3.13
Tc 0.8138 0.6277 0.7500  4 Br 2.50-2.58
Tc 0.1862 0.3723 0.2500  4 Br 2.50-2.58
Br 0.9417 0.8834 0.8826  1 Tc 2.50
Br 0.9417 0.8834 0.6174  1 Tc 2.50
Br 0.3150 0.6300 0.3898  1 Tc 2.58, 2 Na 2.88
Br 0.3150 0.6300 0.1102  1 Tc 2.58, 2 Na 2.88
Br 0.6955 0.3909 0.2500  2 Tc 2.83, 2 Na 3.05
Br 0.3045 0.6091 0.7500  2 Tc 2.83, 2 Na 3.05
Br 0.6850 0.3700 0.6102  1 Tc 2.58, 2 Na 2.88
Br 0.6850 0.3700 0.8898  1 Tc 2.58, 2 Na 2.88
Br 0.0583 0.1166 0.1174  1 Tc 2.50
Br 0.0583 0.1166 0.3826  1 Tc 2.50



[2]
EuTh2Fe: relaxed, PBE-GGA.

Output
electronic total energy = -8.2545 eV/atom
symmetry = R-3m
M_tot = 7.8 μB/cell

abc: 3.8608 3.8608 10.5868
angles: 79.49 79.49 60.00
With the nearest neighbours (Å) after each atom.
Fractional coordinates of all 4 atoms:
Eu 0.0000 0.0000 0.0000  2 Th 3.69, 6 Eu 3.86
Fe 0.5000 0.5000 0.5000  6 Th 2.68
Th 0.1187 0.1187 0.6439  3 Fe 2.68
Th 0.8813 0.8813 0.3561  3 Fe 2.68



[3]
Y3ErSb4: relaxed, PBE-GGA.

Output
electronic total energy = -6.2079 eV/atom
symmetry = Pm-3m
uncorrected formation energy = -1.152 eV/atom
M_tot = 0.0 μB/cell

abc: 6.1919 6.1919 6.1919
angles: 90.00 90.00 90.00
With the nearest neighbours (Å) after each atom.
Fractional coordinates of all 8 atoms:
Y 0.0000 0.5000 0.5000  6 Sb 3.10
Y 0.5000 0.0000 0.5000  6 Sb 3.10
Y 0.5000 0.5000 0.0000  6 Sb 3.10
Er 0.0000 0.0000 0.0000  6 Sb 3.10
Sb 0.5000 0.0000 0.0000  4 Y 3.10, 2 Er 3.10
Sb 0.0000 0.5000 0.0000  4 Y 3.10, 2 Er 3.10
Sb 0.0000 0.0000 0.5000  4 Y 3.10, 2 Er 3.10
Sb 0.5000 0.5000 0.5000  6 Y 3.10



[4]
Ca2SbTeBr: relaxed, PBE-GGA.

Output
electronic total energy = -2.9189 eV/atom
symmetry = P4/mmm
uncorrected formation energy = -0.331 eV/atom
M_tot = 0.0 μB/cell

abc: 5.7544 5.3390 5.7544
angles: 90.00 90.00 90.00
With the nearest neighbours (Å) after each atom.
Fractional coordinates of all 5 atoms:
Sb 0.0000 0.5000 0.0000  2 Br 2.67
Ca 0.0000 0.0000 0.5000  2 Br 2.88
Ca 0.5000 0.0000 0.0000  2 Br 2.88
Te 0.5000 0.5000 0.5000  8 Ca 3.92, 4 Sb 4.07
Br 0.0000 0.0000 0.0000  2 Sb 2.67, 4 Ca 2.88



[5]
In2Ga2Hg: relaxed, PBE-GGA.

Output
electronic total energy = -2.3038 eV/atom
symmetry = P4/mbm
M_tot = 0.0 μB/cell
relative energy among the computed polymorphs = 0.021 eV per atom

abc: 8.4512 8.4512 3.4490
angles: 90.00 90.00 90.00
With the nearest neighbours (Å) after each atom.
Fractional coordinates of all 10 atoms:
Hg 0.0000 0.0000 0.0000  4 In 3.11, 2 Hg 3.45
Hg 0.5000 0.5000 0.0000  4 In 3.11, 2 Hg 3.45
Ga 0.1182 0.6182 0.5000  1 Ga 2.83, 6 In 2.98-3.09
Ga 0.6182 0.8818 0.5000  1 Ga 2.83, 6 In 2.98-3.09
Ga 0.8818 0.3818 0.5000  1 Ga 2.83, 6 In 2.98-3.09
Ga 0.3818 0.1182 0.5000  1 Ga 2.83, 6 In 2.98-3.09
In 0.3215 0.8215 0.0000  6 Ga 2.98-3.09, 2 Hg 3.11
In 0.8215 0.6785 0.0000  6 Ga 2.98-3.09, 2 Hg 3.11
In 0.6785 0.1785 0.0000  6 Ga 2.98-3.09, 2 Hg 3.11
In 0.1785 0.3215 0.0000  6 Ga 2.98-3.09, 2 Hg 3.11



[6]
Ba3Hg: relaxed, PBE-GGA.

Output
electronic total energy = -1.7228 eV/atom
symmetry = P-6m2
M_tot = 0.0 μB/cell
relative energy among the computed polymorphs = 0.056 eV per atom

abc: 4.5588 4.5588 12.1063
angles: 90.00 90.00 120.00
With the nearest neighbours (Å) after each atom.
Fractional coordinates of all 4 atoms:
Hg 0.6667 0.3333 0.7500  6 Ba 3.50
Ba 0.0000 0.0000 0.9401  3 Hg 3.50
Ba 0.0000 0.0000 0.5599  3 Hg 3.50
Ba 0.6667 0.3333 0.2500  12 Ba 4.56-4.58